# 1
FeCu2Cl GGA-PBEsol optimized geometry; raw total energy = -4.46 eV/atom; magnetic moment = 0.75 μB per atom; raw formation energy = 0.453 eV/atom
1.0
-1.380 1.954 5.095
1.380 -1.954 5.095
1.380 1.954 -5.095
Fe Cu Cl
1 2 1
Cartesian
0.000 0.000 0.000
1.380 0.000 2.251
0.000 1.954 2.844
0.000 0.000 5.095

---

# 2
FeCuCl2 GGA-PBEsol optimized geometry; raw total energy = -4.12 eV/atom; magnetic moment = 0.76 μB per atom; raw formation energy = 0.213 eV/atom
1.0
0.000 3.075 3.075
3.075 0.000 3.075
3.075 3.075 0.000
Fe Cu Cl
1 1 2
Cartesian
0.000 0.000 0.000
3.075 3.075 3.075
1.538 1.538 1.538
4.613 4.613 4.613